# Rb3Ag2I2Cl3, optimized geometry, DFT PBE
# E_form (uncorrected)	-1.15	eV per atom
# total magnetization	0.00	μB/f.u.
# volume	815	Å³ per cell
# raw total energy	-2.87	eV/atom
data_Rb3Ag2I2Cl3
_symmetry_space_group_name_H-M 'I 4/m m m'
_symmetry_Int_Tables_number 139
_symmetry_space_group_name_Hall '-I 4 2'
_cell_length_a 5.504
_cell_length_b 5.504
_cell_length_c 26.901
_cell_angle_alpha 90.00
_cell_angle_beta 90.00
_cell_angle_gamma 90.00
loop_
_atom_site_label
_atom_site_type_symbol
_atom_site_fract_x
_atom_site_fract_y
_atom_site_fract_z
Rb1 Rb 0.000 0.000 0.000
Rb2 Rb 0.000 0.000 0.375
Ag1 Ag 0.000 0.000 0.210
I1 I 0.000 0.500 0.250
Cl1 Cl 0.000 0.000 0.115
Cl2 Cl 0.000 0.000 0.500